3
Lattice="3.3518 0.0000 0.0000 -1.6759 2.9027 0.0000 0.0000 0.0000 6.7698" Properties=species:S:1:pos:R:3 comment="ZrRuPb (PBE, relaxed)" n_ef_per_ev_cell=2.13 formation_energy_ev_per_atom=0.081 total_energy_ev_per_atom=-7.096 pbc="T T T"
Pb 0.0000 0.0000 0.1301
Zr 1.6759 0.9676 4.1962
Ru 0.0000 1.9351 2.4435